(1)
# BaLaMn2 | Alexandria via LeMat-Bulk | GGA-PBE | optimized geometry
data_BaLaMn2
_chemical_formula_sum 'Ba4 La4 Mn8'
_cell_length_a 7.5326
_cell_length_b 7.5326
_cell_length_c 7.5326
_cell_angle_alpha 90.00
_cell_angle_beta 90.00
_cell_angle_gamma 90.00
_symmetry_space_group_name_H-M 'F -4 3 m'
_symmetry_Int_Tables_number 216
_symmetry_space_group_name_Hall 'F -4 2 3'
loop_
_atom_site_label
_atom_site_type_symbol
_atom_site_fract_x
_atom_site_fract_y
_atom_site_fract_z
_atom_site_occupancy
Ba1 Ba 0.0000 0.0000 0.0000 1
La1 La 0.2500 0.2500 0.2500 1
Mn1 Mn 0.0000 0.0000 0.5000 1
Mn2 Mn 0.2500 0.2500 0.7500 1
# - Energy above the most stable polymorph in this dataset: 276 meV per atom
# - Calculated total energy: -89.41 eV for the cell shown
# - DOS at the Fermi energy: 1.846 states/eV per atom
# - Energy relative to the elements: 0.709 eV per atom

---

(2)
# Mg2TlCl | Alexandria via LeMat-Bulk | GGA-PBE | optimized geometry
data_Mg2TlCl
_chemical_formula_sum 'Mg2 Tl1 Cl1'
_cell_length_a 5.2583
_cell_length_b 5.2583
_cell_length_c 3.3691
_cell_angle_alpha 90.00
_cell_angle_beta 90.00
_cell_angle_gamma 90.00
_symmetry_space_group_name_H-M 'P 4 m m'
_symmetry_Int_Tables_number 99
_symmetry_space_group_name_Hall 'P 4 -2'
loop_
_atom_site_label
_atom_site_type_symbol
_atom_site_fract_x
_atom_site_fract_y
_atom_site_fract_z
_atom_site_occupancy
Mg1 Mg 0.0000 0.5000 0.0000 1
Tl1 Tl 0.0000 0.0000 0.5004 1
Cl1 Cl 0.5000 0.5000 0.0023 1
# - Energy above the most stable polymorph in this dataset: 0 meV per atom
# - Calculated total energy: -9.45 eV for the cell shown
# - DOS at the Fermi energy: 0.457 states/eV per atom

---

(3)
# TlCoAg2 | Alexandria via LeMat-Bulk | GGA-PBE | optimized geometry
data_TlCoAg2
_chemical_formula_sum 'Tl4 Co4 Ag8'
_cell_length_a 3.8892
_cell_length_b 3.8892
_cell_length_c 20.2912
_cell_angle_alpha 90.00
_cell_angle_beta 90.00
_cell_angle_gamma 90.00
_symmetry_space_group_name_H-M 'I -4 2 d'
_symmetry_Int_Tables_number 122
_symmetry_space_group_name_Hall 'I -4 2bw'
loop_
_atom_site_label
_atom_site_type_symbol
_atom_site_fract_x
_atom_site_fract_y
_atom_site_fract_z
_atom_site_occupancy
Tl1 Tl 0.0000 0.0000 0.0000 1
Co1 Co 0.0000 0.0000 0.5000 1
Ag1 Ag 0.2409 0.2500 0.6250 1
# - Energy above the most stable polymorph in this dataset: 181 meV per atom
# - Calculated total energy: -52.08 eV for the cell shown
# - DOS at the Fermi energy: 1.103 states/eV per atom
# - Energy relative to the elements: 0.539 eV per atom

---

(4)
# InMoI2 | Alexandria via LeMat-Bulk | GGA-PBE | optimized geometry
data_InMoI2
_chemical_formula_sum 'In4 Mo4 I8'
_cell_length_a 9.9920
_cell_length_b 9.9920
_cell_length_c 5.6214
_cell_angle_alpha 90.00
_cell_angle_beta 90.00
_cell_angle_gamma 90.00
_symmetry_space_group_name_H-M 'I -4 2 d'
_symmetry_Int_Tables_number 122
_symmetry_space_group_name_Hall 'I -4 2bw'
loop_
_atom_site_label
_atom_site_type_symbol
_atom_site_fract_x
_atom_site_fract_y
_atom_site_fract_z
_atom_site_occupancy
In1 In 0.0000 0.0000 0.0000 1
Mo1 Mo 0.0000 0.0000 0.5000 1
I1 I 0.1088 0.2500 0.6250 1
# - Energy above the most stable polymorph in this dataset: 0 meV per atom
# - Calculated total energy: -61.40 eV for the cell shown
# - DOS at the Fermi energy: 0.661 states/eV per atom

---

(5)
# RbPaSe | Alexandria via LeMat-Bulk | GGA-PBE | optimized geometry
data_RbPaSe
_chemical_formula_sum 'Rb6 Pa6 Se6'
_cell_length_a 3.9371
_cell_length_b 3.9371
_cell_length_c 44.8836
_cell_angle_alpha 90.00
_cell_angle_beta 90.00
_cell_angle_gamma 120.00
_symmetry_space_group_name_H-M 'R -3 m'
_symmetry_Int_Tables_number 166
_symmetry_space_group_name_Hall '-R 3 2"'
loop_
_atom_site_label
_atom_site_type_symbol
_atom_site_fract_x
_atom_site_fract_y
_atom_site_fract_z
_atom_site_occupancy
Rb1 Rb 0.0000 0.0000 0.1162 1
Pa1 Pa 0.0000 0.0000 0.3147 1
Se1 Se 0.0000 0.0000 0.3949 1
# - Calculated total energy: -93.00 eV for the cell shown
# - DOS at the Fermi energy: 1.020 states/eV per atom

---

(6)
# LaBeIn2 | Alexandria via LeMat-Bulk | GGA-PBE | optimized geometry
data_LaBeIn2
_chemical_formula_sum 'La1 Be1 In2'
_cell_length_a 3.4452
_cell_length_b 3.4914
_cell_length_c 7.7391
_cell_angle_alpha 90.00
_cell_angle_beta 90.00
_cell_angle_gamma 90.00
_symmetry_space_group_name_H-M 'P m m m'
_symmetry_Int_Tables_number 47
_symmetry_space_group_name_Hall '-P 2 2'
loop_
_atom_site_label
_atom_site_type_symbol
_atom_site_fract_x
_atom_site_fract_y
_atom_site_fract_z
_atom_site_occupancy
La1 La 0.0000 0.0000 0.0000 1
Be1 Be 0.0000 0.0000 0.5000 1
In1 In 0.5000 0.5000 0.3077 1
# - Calculated total energy: -14.09 eV for the cell shown
# - DOS at the Fermi energy: 0.614 states/eV per atom
# - Energy relative to the elements: 0.011 eV per atom

---

Question: DOS at the Fermi energy of number 1 (BaLaMn2)?
Answer: 1.846 states/eV per atom

---

Question: What is the calculated total energy in the second record?
Answer: -9.45 eV for the cell shown

---

Question: The lowest DOS at the Fermi energy belongs to which entry?
Answer: Mg2TlCl